DFT (PBE+U) results for an optimized crystal structure of Dy2Hf2Mo7O28.

electronic total energy = -7.7671 eV per atom
symmetry = C2/c, No. 15

Geometry as extended XYZ:
```
78
Lattice="11.709 -0.009 -0.077 7.447 9.036 -0.077 4.826 2.274 12.966" Properties=species:S:1:pos:R:3 pbc="T T T"
Dy 11.443 5.505 12.033
Dy 12.540 5.797 0.780
Dy 9.116 4.183 5.550
Dy 14.866 7.118 7.263
Hf 17.936 8.099 2.319
Hf 3.906 1.487 4.011
Hf 6.046 3.203 10.494
Hf 20.077 9.815 8.802
Mo 3.677 0.454 0.256
Mo 5.104 3.684 6.739
Mo 12.119 4.241 8.318
Mo 15.064 9.728 4.156
Mo 12.023 2.454 3.165
Mo 4.478 4.739 2.173
Mo 8.918 1.574 8.656
Mo 20.306 10.848 12.556
Mo 11.959 8.848 9.648
Mo 8.572 5.510 1.835
Mo 19.505 6.563 10.639
Mo 11.863 7.061 4.495
Mo 18.879 7.618 6.073
Mo 15.411 5.792 10.978
O 8.410 4.986 3.528
O 10.282 5.561 1.414
O 13.247 5.527 7.896
O 10.925 3.050 4.409
O 13.630 2.059 3.949
O 11.612 4.449 10.010
O 12.262 3.681 1.921
O 18.118 10.505 9.083
O 17.067 8.203 0.438
O 5.388 3.300 8.500
O 10.352 9.243 8.863
O 4.542 3.383 3.386
O 5.865 0.797 3.729
O 17.221 6.149 2.601
O 11.305 0.963 2.381
O 4.379 2.224 5.891
O 12.484 3.537 12.814
O 10.961 8.671 4.682
O 20.421 10.384 10.795
O 6.916 3.099 12.374
O 6.660 4.053 6.006
O 8.790 2.396 7.101
O 13.057 8.251 8.403
O 10.675 4.328 7.277
O 8.266 2.320 4.374
O 12.370 6.852 2.802
O 10.735 5.775 4.916
O 12.677 10.339 10.432
O 19.603 9.078 6.921
O 14.205 7.608 0.324
O 11.498 7.765 -0.001
O 15.717 8.982 8.438
O 16.077 4.071 11.164
O 13.307 6.973 5.536
O 9.778 3.694 12.489
O 18.952 7.185 12.194
O 14.519 5.267 1.955
O 15.193 8.905 5.712
O 8.261 6.240 6.331
O 6.761 5.153 10.212
O 7.913 2.487 9.868
O 16.069 8.815 2.944
O 3.562 0.918 2.017
O 19.440 7.919 9.427
O 15.721 5.062 6.482
O 13.701 5.740 11.399
O 5.030 4.116 0.618
O 16.262 6.961 12.019
O 9.464 6.035 10.857
O 7.905 7.231 1.648
O 13.022 2.631 8.131
O 7.720 4.340 0.794
O 18.594 8.002 4.313
O 11.720 7.621 10.892
O 17.323 7.249 6.806
O 15.572 6.316 9.285
```